[1]
A plane-wave DFT calculation with PBE-GGA was carried out for a geometry-optimized Tl2TeAs structure.

uncorrected formation energy	0.18	eV/atom
symmetry	Fm-3m

a = 5.432 Å, b = 5.432 Å, c = 5.432 Å
α = 60.00°, β = 60.00°, γ = 60.00°
Positions (direct):
Tl  0.250  0.250  0.250
Tl  0.750  0.750  0.750
Te  0.500  0.500  0.500
As  0.000  0.000  0.000

[2]
A plane-wave DFT calculation with PBE-GGA was carried out for a geometry-optimized CuAg2Pt structure.

symmetry	R-3m
calculated formation energy	42.2	meV per atom

a = 9.298 Å, b = 9.298 Å, c = 9.298 Å
α = 17.47°, β = 17.47°, γ = 17.47°
Positions (direct):
Ag  0.996  0.996  0.996
Ag  0.504  0.504  0.504
Cu  0.250  0.250  0.250
Pt  0.750  0.750  0.750

[3]
A plane-wave DFT calculation with PBE-GGA was carried out for a geometry-optimized RbAg3O structure.

uncorrected formation energy	1.68	eV/atom
symmetry	Pm-3m

a = 5.941 Å, b = 5.941 Å, c = 5.941 Å
α = 90.00°, β = 90.00°, γ = 90.00°
Positions (direct):
O  0.500  0.500  0.500
Rb  0.000  0.000  0.000
Ag  0.000  0.500  0.000
Ag  0.000  0.000  0.500
Ag  0.500  0.000  0.000

[4]
A plane-wave DFT calculation with PBE-GGA was carried out for a geometry-optimized PaHS structure.

symmetry	F-43m
E_tot	-19.3	eV for the cell shown

a = 4.341 Å, b = 4.341 Å, c = 4.341 Å
α = 60.00°, β = 60.00°, γ = 60.00°
Positions (direct):
H  0.000  0.000  0.000
S  0.500  0.500  0.500
Pa  0.250  0.250  0.250

[5]
A plane-wave DFT calculation with PBE-GGA was carried out for a geometry-optimized Ac2La4Pr structure.

symmetry	P1
calculated formation energy	18.3	meV per atom

a = 6.592 Å, b = 9.341 Å, c = 10.043 Å
α = 89.76°, β = 90.11°, γ = 118.24°
Positions (direct):
Pr  0.485  0.518  0.428
Pr  0.619  0.231  0.999
Ac  0.551  0.870  0.213
Ac  0.699  0.593  0.787
Ac  0.052  0.372  0.716
Ac  0.839  0.307  0.355
La  0.129  0.739  0.500
La  0.988  0.020  0.930
La  0.196  0.089  0.286
La  0.402  0.153  0.643
La  0.767  0.944  0.572
La  0.268  0.443  0.073
La  0.911  0.660  0.143
La  0.343  0.811  0.856

[6]
A plane-wave DFT calculation with PBE-GGA was carried out for a geometry-optimized MgAg3Pd structure.

symmetry	Pm-3m
calculated formation energy	551.7	meV per atom

a = 5.045 Å, b = 5.045 Å, c = 5.045 Å
α = 90.00°, β = 90.00°, γ = 90.00°
Positions (direct):
Mg  0.500  0.500  0.500
Pd  0.000  0.000  0.000
Ag  0.000  0.500  0.000
Ag  0.000  0.000  0.500
Ag  0.500  0.000  0.000

[7]
A plane-wave DFT calculation with PBE-GGA was carried out for a geometry-optimized Pa2CO8 structure.

uncorrected formation energy	-2.28	eV/atom
symmetry	C2/m

a = 5.838 Å, b = 5.865 Å, c = 5.865 Å
α = 65.49°, β = 92.69°, γ = 92.69°
Positions (direct):
Pa  0.430  0.326  0.326
Pa  0.570  0.674  0.674
C  0.000  0.000  0.000
O  0.343  0.633  0.013
O  0.657  0.987  0.367
O  0.127  0.096  0.096
O  0.873  0.904  0.904
O  0.343  0.013  0.633
O  0.657  0.367  0.987
O  0.707  0.468  0.468
O  0.293  0.532  0.532

[8]
A plane-wave DFT calculation with PBE-GGA was carried out for a geometry-optimized BeRu structure.

symmetry	F-43m
calculated formation energy	1257.6	meV per atom

a = 3.462 Å, b = 3.462 Å, c = 3.462 Å
α = 60.00°, β = 60.00°, γ = 60.00°
Positions (direct):
Ru  0.750  0.750  0.750
Be  0.000  0.000  0.000

[9]
A plane-wave DFT calculation with PBE-GGA was carried out for a geometry-optimized YSbSe2Br structure.

uncorrected formation energy	-0.50	eV/atom
symmetry	P4/mmm

a = 5.539 Å, b = 5.539 Å, c = 5.338 Å
α = 90.00°, β = 90.00°, γ = 90.00°
Positions (direct):
Y  0.000  0.000  0.000
Sb  0.500  0.500  0.500
Se  0.000  0.500  0.000
Se  0.500  0.000  0.000
Br  0.000  0.000  0.500

[10]
A plane-wave DFT calculation with PBE-GGA was carried out for a geometry-optimized MgSi structure.

uncorrected formation energy	0.10	eV/atom
symmetry	Imm2

a = 12.920 Å, b = 3.284 Å, c = 5.344 Å
α = 90.00°, β = 90.00°, γ = 90.00°
Positions (direct):
Mg  0.804  0.000  0.847
Mg  0.196  0.000  0.847
Mg  0.304  0.500  0.347
Mg  0.696  0.500  0.347
Mg  0.000  0.500  0.051
Mg  0.500  0.000  0.551
Si  0.872  0.000  0.351
Si  0.128  0.000  0.351
Si  0.372  0.500  0.851
Si  0.628  0.500  0.851
Si  0.000  0.500  0.555
Si  0.500  0.000  0.055

[11]
A plane-wave DFT calculation with PBE-GGA was carried out for a geometry-optimized Mn3SiHg structure.

uncorrected formation energy	0.51	eV/atom
symmetry	Pm-3m

a = 4.459 Å, b = 4.459 Å, c = 4.459 Å
α = 90.00°, β = 90.00°, γ = 90.00°
Positions (direct):
Si  0.000  0.000  0.000
Mn  0.000  0.500  0.000
Mn  0.000  0.000  0.500
Mn  0.500  0.000  0.000
Hg  0.500  0.500  0.500

[12]
A plane-wave DFT calculation with PBE-GGA was carried out for a geometry-optimized Tb4Ho7Sc structure.

symmetry	C2/m
calculated formation energy	283.9	meV per atom

a = 5.761 Å, b = 11.599 Å, c = 6.603 Å
α = 83.50°, β = 64.14°, γ = 75.62°
Positions (direct):
Tb  0.639  0.225  0.497
Tb  0.361  0.775  0.503
Tb  0.790  0.663  0.757
Tb  0.210  0.337  0.243
Ho  0.793  0.925  0.489
Ho  0.207  0.075  0.511
Ho  0.076  0.702  0.146
Ho  0.924  0.298  0.854
Ho  0.368  0.491  0.773
Ho  0.500  0.000  0.000
Ho  0.632  0.509  0.227
Sc  0.000  0.000  0.000